6
Lattice="0.4981 -4.8130 2.4071 0.2268 -0.3149 5.3904 -4.1522 -2.0825 2.7622" Properties=species:S:1:pos:R:3 comment="FeAg5, relaxed, DFT PBE" dos_at_fermi_per_ev_cell=4.28 formation_energy_mev_per_atom=460 e_above_lowest_polymorph_kj_per_mol_fu=140 spacegroup=F-43m vol_a3_per_atom=18.60 pbc="T T T"
Fe 0.0000 0.0000 0.0000
Ag -1.0354 -5.1121 5.1633
Ag -2.5704 -5.4078 7.9198
Ag -1.1712 -2.8605 6.6566
Ag -1.2848 -2.7029 3.9584
Ag -3.3631 -3.7453 5.3411